# 1
VASP calculation (PBE) on a geometry-optimized LaEr3Bi2 structure.

Cell lengths 4.3819, 10.8848, 9.9689 Å; angles 124.72, 90.00, 101.61 degrees
Fractional coordinates of all 12 atoms:
La: 0.1125 0.2250 0.0994
La: 0.8875 0.7750 0.9006
Er: 0.3661 0.7321 0.2094
Er: 0.3107 0.6214 0.5076
Er: 0.6339 0.2679 0.7906
Er: 0.0576 0.1153 0.4451
Er: 0.6893 0.3786 0.4924
Er: 0.9424 0.8847 0.5549
Bi: 0.7549 0.5098 0.2137
Bi: 0.4851 0.9703 0.8149
Bi: 0.2451 0.4902 0.7863
Bi: 0.5149 0.0297 0.1851

## Properties
As for the formation energy: -504 meV/atom. The density of states at the Fermi level comes out at 12.282 states/eV per cell. Its total magnetization is 0.0 μB/f.u.

***

# 2
VASP calculation (PBE) on a geometry-optimized LaErBi structure.

Cell lengths 4.1389, 5.2784, 5.2784 Å; angles 120.00, 90.00, 90.00 degrees
Fractional coordinates of all 3 atoms:
Bi: 0.1223 0.0000 0.0000
Er: 0.1960 0.6667 0.3333
La: 0.6818 0.3333 0.6667

## Properties
As for the formation energy: -352 meV/atom. The density of states at the Fermi level comes out at 4.303 states/eV per cell. Its total magnetization is 0.0 μB/f.u.